# 1
# Ba2Cd3Sn4Hg, optimized geometry, DFT PBE-GGA
# * space group: P-4m2, No. 115
# * total moment: 0.000 μB/atom
data_Ba2Cd3Sn4Hg
_chemical_formula_sum 'Ba2 Cd3 Sn4 Hg1'
_cell_length_a 4.9984
_cell_length_b 4.9984
_cell_length_c 12.1159
_cell_angle_alpha 90.00
_cell_angle_beta 90.00
_cell_angle_gamma 90.00
_symmetry_space_group_name_H-M 'P 1'
_symmetry_Int_Tables_number 1
loop_
_symmetry_equiv_pos_as_xyz
'x,y,z'
loop_
_atom_site_label
_atom_site_type_symbol
_atom_site_fract_x
_atom_site_fract_y
_atom_site_fract_z
Ba1 Ba 0.0000 0.5000 0.2420
Ba2 Ba 0.5000 0.0000 0.7580
Cd1 Cd 0.0000 0.0000 0.0000
Cd2 Cd 0.0000 0.5000 0.6352
Cd3 Cd 0.5000 0.0000 0.3648
Sn1 Sn 0.0000 0.0000 0.5000
Sn2 Sn 0.0000 0.5000 0.8685
Sn3 Sn 0.5000 0.0000 0.1315
Sn4 Sn 0.5000 0.5000 0.5000
Hg1 Hg 0.5000 0.5000 0.0000

---

# 2
# Ba2CdSnHg6, optimized geometry, DFT PBE-GGA
# * space group: Fm-3m, No. 225
# * total moment: 0.000 μB/atom
data_Ba2CdSnHg6
_chemical_formula_sum 'Ba2 Cd1 Sn1 Hg6'
_cell_length_a 7.9220
_cell_length_b 7.9220
_cell_length_c 7.9220
_cell_angle_alpha 60.00
_cell_angle_beta 60.00
_cell_angle_gamma 60.00
_symmetry_space_group_name_H-M 'P 1'
_symmetry_Int_Tables_number 1
loop_
_symmetry_equiv_pos_as_xyz
'x,y,z'
loop_
_atom_site_label
_atom_site_type_symbol
_atom_site_fract_x
_atom_site_fract_y
_atom_site_fract_z
Ba1 Ba 0.2500 0.2500 0.2500
Ba2 Ba 0.7500 0.7500 0.7500
Cd1 Cd 0.0000 0.0000 0.0000
Sn1 Sn 0.5000 0.5000 0.5000
Hg1 Hg 0.2472 0.2472 0.7528
Hg2 Hg 0.2472 0.7528 0.2472
Hg3 Hg 0.2472 0.7528 0.7528
Hg4 Hg 0.7528 0.2472 0.2472
Hg5 Hg 0.7528 0.2472 0.7528
Hg6 Hg 0.7528 0.7528 0.2472

---

# 3
# Ba2Cd3SnHg12, optimized geometry, DFT PBE-GGA
# * space group: R-3m, No. 166
# * total moment: 0.000 μB/atom
data_Ba2Cd3SnHg12
_chemical_formula_sum 'Ba2 Cd3 Sn1 Hg12'
_cell_length_a 13.3934
_cell_length_b 13.3934
_cell_length_c 13.3934
_cell_angle_alpha 30.20
_cell_angle_beta 30.20
_cell_angle_gamma 30.20
_symmetry_space_group_name_H-M 'P 1'
_symmetry_Int_Tables_number 1
loop_
_symmetry_equiv_pos_as_xyz
'x,y,z'
loop_
_atom_site_label
_atom_site_type_symbol
_atom_site_fract_x
_atom_site_fract_y
_atom_site_fract_z
Ba1 Ba 0.1374 0.1374 0.1374
Ba2 Ba 0.8626 0.8626 0.8626
Cd1 Cd 0.0000 0.5000 0.5000
Cd2 Cd 0.5000 0.0000 0.5000
Cd3 Cd 0.5000 0.5000 0.0000
Sn1 Sn 0.5000 0.5000 0.5000
Hg1 Hg 0.0872 0.6231 0.6231
Hg2 Hg 0.0943 0.0943 0.6524
Hg3 Hg 0.0943 0.6524 0.0943
Hg4 Hg 0.3476 0.9057 0.9057
Hg5 Hg 0.3769 0.3769 0.9128
Hg6 Hg 0.3769 0.9128 0.3769
Hg7 Hg 0.6231 0.0872 0.6231
Hg8 Hg 0.6231 0.6231 0.0872
Hg9 Hg 0.6524 0.0943 0.0943
Hg10 Hg 0.9057 0.3476 0.9057
Hg11 Hg 0.9057 0.9057 0.3476
Hg12 Hg 0.9128 0.3769 0.3769

---

# 4
# Ba2CdSn4Hg3, optimized geometry, DFT PBE-GGA
# * space group: P-4m2, No. 115
# * total moment: 0.000 μB/atom
data_Ba2CdSn4Hg3
_chemical_formula_sum 'Ba2 Cd1 Sn4 Hg3'
_cell_length_a 4.9946
_cell_length_b 4.9946
_cell_length_c 12.1962
_cell_angle_alpha 90.00
_cell_angle_beta 90.00
_cell_angle_gamma 90.00
_symmetry_space_group_name_H-M 'P 1'
_symmetry_Int_Tables_number 1
loop_
_symmetry_equiv_pos_as_xyz
'x,y,z'
loop_
_atom_site_label
_atom_site_type_symbol
_atom_site_fract_x
_atom_site_fract_y
_atom_site_fract_z
Ba1 Ba 0.0000 0.5000 0.2438
Ba2 Ba 0.5000 0.0000 0.7562
Cd1 Cd 0.5000 0.5000 0.0000
Sn1 Sn 0.0000 0.0000 0.5000
Sn2 Sn 0.0000 0.5000 0.8698
Sn3 Sn 0.5000 0.0000 0.1302
Sn4 Sn 0.5000 0.5000 0.5000
Hg1 Hg 0.0000 0.0000 0.0000
Hg2 Hg 0.0000 0.5000 0.6380
Hg3 Hg 0.5000 0.0000 0.3620

---

# 5
# Ba2Cd4Sn3Hg, optimized geometry, DFT PBE-GGA
# * space group: P-4m2, No. 115
# * total moment: 0.000 μB/atom
data_Ba2Cd4Sn3Hg
_chemical_formula_sum 'Ba2 Cd4 Sn3 Hg1'
_cell_length_a 4.8828
_cell_length_b 4.8828
_cell_length_c 12.4317
_cell_angle_alpha 90.00
_cell_angle_beta 90.00
_cell_angle_gamma 90.00
_symmetry_space_group_name_H-M 'P 1'
_symmetry_Int_Tables_number 1
loop_
_symmetry_equiv_pos_as_xyz
'x,y,z'
loop_
_atom_site_label
_atom_site_type_symbol
_atom_site_fract_x
_atom_site_fract_y
_atom_site_fract_z
Ba1 Ba 0.0000 0.5000 0.2484
Ba2 Ba 0.5000 0.0000 0.7516
Cd1 Cd 0.0000 0.0000 0.0000
Cd2 Cd 0.0000 0.5000 0.6347
Cd3 Cd 0.5000 0.0000 0.3653
Cd4 Cd 0.5000 0.5000 0.0000
Sn1 Sn 0.0000 0.5000 0.8638
Sn2 Sn 0.5000 0.0000 0.1362
Sn3 Sn 0.5000 0.5000 0.5000
Hg1 Hg 0.0000 0.0000 0.5000

---

# 6
# BaCdSnHg, optimized geometry, DFT PBE-GGA
# * space group: R3m, No. 160
# * energy above the lowest structure with this stoichiometry: 0 meV/atom
# * total moment: 0.000 μB/atom
data_BaCdSnHg
_chemical_formula_sum 'Ba1 Cd1 Sn1 Hg1'
_cell_length_a 6.6510
_cell_length_b 6.6510
_cell_length_c 6.6510
_cell_angle_alpha 44.51
_cell_angle_beta 44.51
_cell_angle_gamma 44.51
_symmetry_space_group_name_H-M 'P 1'
_symmetry_Int_Tables_number 1
loop_
_symmetry_equiv_pos_as_xyz
'x,y,z'
loop_
_atom_site_label
_atom_site_type_symbol
_atom_site_fract_x
_atom_site_fract_y
_atom_site_fract_z
Ba1 Ba 0.0000 0.0000 0.0000
Cd1 Cd 0.7917 0.7917 0.7917
Sn1 Sn 0.4744 0.4744 0.4744
Hg1 Hg 0.2322 0.2322 0.2322

---

Calculated energy of formation in order - -0.4023, -0.1573, -0.1451, -0.3968, -0.3937, -0.3766 eV/atom
Calculated density in order - 7.06, 8.07, 9.67, 7.99, 7.18, 7.19 g cm⁻³
Calculated total energy in order - -2.69, -1.21, -0.93, -2.56, -2.38, -2.16 eV per atom